La6Tb3Tl: relaxed, GGA-PBE.

```
data_La6Tb3Tl
_chemical_formula_sum 'La12 Tb6 Tl2'
_cell_length_a 8.924
_cell_length_b 8.924
_cell_length_c 8.924
_cell_angle_alpha 88.29
_cell_angle_beta 88.29
_cell_angle_gamma 88.29
_symmetry_space_group_name_H-M 'P 1'
_symmetry_Int_Tables_number 1
_symmetry_space_group_name_Hall 'P 1'
loop_
_atom_site_label
_atom_site_fract_x
_atom_site_fract_y
_atom_site_fract_z
La1 0.850 0.617 0.945
La2 0.055 0.150 0.383
La3 0.149 0.496 0.604
La4 0.383 0.055 0.150
La5 0.496 0.604 0.149
La6 0.396 0.851 0.504
La7 0.604 0.149 0.496
La8 0.504 0.396 0.851
La9 0.617 0.945 0.850
La10 0.851 0.504 0.396
La11 0.945 0.850 0.617
La12 0.150 0.383 0.055
Tb1 0.120 0.754 0.253
Tb2 0.253 0.120 0.754
Tb3 0.246 0.747 0.880
Tb4 0.754 0.253 0.120
Tb5 0.747 0.880 0.246
Tb6 0.880 0.246 0.747
Tl1 0.000 0.000 0.000
Tl2 0.500 0.500 0.500
```

Properties
Formation enthalpy at 0 K = 0.079 eV per atom
Calculated volume = 35.5 A^3/atom

***

NaPr2Ho: relaxed, GGA-PBE.

```
data_NaPr2Ho
_chemical_formula_sum 'Na1 Pr2 Ho1'
_cell_length_a 3.586
_cell_length_b 3.586
_cell_length_c 13.104
_cell_angle_alpha 82.13
_cell_angle_beta 82.13
_cell_angle_gamma 60.00
_symmetry_space_group_name_H-M 'P 1'
_symmetry_Int_Tables_number 1
_symmetry_space_group_name_Hall 'P 1'
loop_
_atom_site_label
_atom_site_fract_x
_atom_site_fract_y
_atom_site_fract_z
Pr1 0.092 0.092 0.723
Pr2 0.908 0.908 0.277
Na1 0.000 0.000 0.000
Ho1 0.500 0.500 0.500
```

Properties
Formation enthalpy at 0 K = 0.122 eV per atom
Energy above the most stable polymorph in this dataset = 0.0301 eV/atom
Calculated volume = 36.0 A^3/atom

***

Number 1: N(E_F) 1.876 states/eV per atom. Number 2: N(E_F) 1.215 states/eV per atom.